# Al2ZnRh | the Alexandria database | meta-GGA SCAN | single point on PBEsol structure
# formation energy from the elements = -0.6712 eV per atom
data_Al2ZnRh
_cell_length_a 2.9934
_cell_length_b 3.3612
_cell_length_c 5.5325
_cell_angle_alpha 90.00
_cell_angle_beta 90.00
_cell_angle_gamma 90.00
_symmetry_space_group_name_H-M 'P 1'
_symmetry_Int_Tables_number 1
loop_
_symmetry_equiv_pos_as_xyz
'x,y,z'
loop_
_atom_site_label
_atom_site_type_symbol
_atom_site_fract_x
_atom_site_fract_y
_atom_site_fract_z
Al1 Al 0.0000 0.0000 0.2418
Al2 Al 0.0000 0.0000 0.7582
Zn1 Zn 0.5000 0.5000 0.5000
Rh1 Rh 0.5000 0.5000 0.0000

# CaIn2Pb | the Alexandria database | meta-GGA SCAN | single point on PBEsol structure
# formation energy from the elements = -0.3225 eV per atom
data_CaIn2Pb
_cell_length_a 3.9520
_cell_length_b 3.9520
_cell_length_c 6.9230
_cell_angle_alpha 90.00
_cell_angle_beta 90.00
_cell_angle_gamma 90.00
_symmetry_space_group_name_H-M 'P 1'
_symmetry_Int_Tables_number 1
loop_
_symmetry_equiv_pos_as_xyz
'x,y,z'
loop_
_atom_site_label
_atom_site_type_symbol
_atom_site_fract_x
_atom_site_fract_y
_atom_site_fract_z
In1 In 0.5000 0.5000 0.2419
In2 In 0.0000 0.0000 0.0242
Pb1 Pb 0.0000 0.0000 0.4795
Ca1 Ca 0.5000 0.5000 0.7544

# HfSiSe | the Alexandria database | meta-GGA SCAN | single point on PBEsol structure
# energy relative to the elements, uncorrected = -1042 meV per atom
data_HfSiSe
_cell_length_a 3.5777
_cell_length_b 3.5777
_cell_length_c 8.2175
_cell_angle_alpha 90.00
_cell_angle_beta 90.00
_cell_angle_gamma 90.00
_symmetry_space_group_name_H-M 'P 1'
_symmetry_Int_Tables_number 1
loop_
_symmetry_equiv_pos_as_xyz
'x,y,z'
loop_
_atom_site_label
_atom_site_type_symbol
_atom_site_fract_x
_atom_site_fract_y
_atom_site_fract_z
Hf1 Hf 0.5000 0.0000 0.2565
Hf2 Hf 0.0000 0.5000 0.7435
Si1 Si 0.5000 0.5000 0.0000
Si2 Si 0.0000 0.0000 0.0000
Se1 Se 0.5000 0.0000 0.6202
Se2 Se 0.0000 0.5000 0.3798

# LiSc | the Alexandria database | meta-GGA SCAN | single point on PBEsol structure
# formation energy from the elements = 0.1053 eV per atom
data_LiSc
_cell_length_a 3.1750
_cell_length_b 3.1750
_cell_length_c 10.3378
_cell_angle_alpha 81.17
_cell_angle_beta 81.17
_cell_angle_gamma 60.00
_symmetry_space_group_name_H-M 'P 1'
_symmetry_Int_Tables_number 1
loop_
_symmetry_equiv_pos_as_xyz
'x,y,z'
loop_
_atom_site_label
_atom_site_type_symbol
_atom_site_fract_x
_atom_site_fract_y
_atom_site_fract_z
Sc1 Sc 0.6253 0.6253 0.1242
Sc2 Sc 0.3747 0.3747 0.8758
Li1 Li 0.1267 0.1267 0.6198
Li2 Li 0.8733 0.8733 0.3802

Summary of spin magnetization in μB per cell
0.00, 0.00, 0.00, 1.29
(order as listed above)
Summary of calculated total energy in eV per atom
-16.37, -38.38, -31.96, -8.21
(order as listed above)